Sr2TlInI | SCAN | PBEsol geometry

abc: 5.461 6.365 6.365
angles: 90.00 90.00 90.00
Atoms (fractional coordinates):
I  0.500  0.500  0.500
Sr  0.000  0.000  0.500
Sr  0.000  0.500  0.000
Tl  0.500  0.000  0.000
In  0.000  0.000  0.000

calculated volume: 44.24 Å³/atom
crystal system: tetragonal
final energy: -189.4 eV/f.u.
uncorrected formation energy: -467 meV/atom

RbSnF2 | SCAN | PBEsol geometry

abc: 3.599 3.599 8.103
angles: 77.17 77.17 60.00
Atoms (fractional coordinates):
Sn  0.000  0.000  0.000
Rb  0.500  0.500  0.500
F  0.906  0.906  0.282
F  0.094  0.094  0.718

calculated volume: 21.96 Å³/atom
crystal system: trigonal
final energy: -72.3 eV/f.u.
uncorrected formation energy: -2138 meV/atom

Bi3OsN | SCAN | PBEsol geometry

abc: 4.712 4.712 4.712
angles: 90.00 90.00 90.00
Atoms (fractional coordinates):
Os  0.500  0.500  0.500
Bi  0.000  0.500  0.000
Bi  0.000  0.000  0.500
Bi  0.500  0.000  0.000
N  0.000  0.000  0.000

calculated volume: 20.92 Å³/atom
crystal system: cubic
final energy: -310.1 eV/f.u.
uncorrected formation energy: 1365 meV/atom

Zr3CdN | SCAN | PBEsol geometry

abc: 4.460 4.460 4.460
angles: 90.00 90.00 90.00
Atoms (fractional coordinates):
N  0.000  0.000  0.000
Zr  0.000  0.500  0.000
Zr  0.000  0.000  0.500
Zr  0.500  0.000  0.000
Cd  0.500  0.500  0.500

calculated volume: 17.74 Å³/atom
crystal system: cubic
final energy: -136.6 eV/f.u.
uncorrected formation energy: -957 meV/atom

SrCdHgOs2 | SCAN | PBEsol geometry

abc: 4.991 4.991 5.080
angles: 90.00 90.00 90.00
Atoms (fractional coordinates):
Sr  0.500  0.500  0.500
Os  0.000  0.500  0.000
Os  0.500  0.000  0.000
Hg  0.000  0.000  0.500
Cd  0.000  0.000  0.000

calculated volume: 25.31 Å³/atom
formation energy: 1642.7 meV/atom
crystal system: tetragonal
final energy: -256.4 eV/f.u.

MgBiSN2 | SCAN | PBEsol geometry

abc: 4.200 4.200 5.441
angles: 90.00 90.00 90.00
Atoms (fractional coordinates):
Mg  0.500  0.500  0.500
S  0.000  0.000  0.500
Bi  0.000  0.000  0.000
N  0.000  0.500  0.000
N  0.500  0.000  0.000

calculated volume: 19.20 Å³/atom
crystal system: tetragonal
final energy: -106.1 eV/f.u.
uncorrected formation energy: 1127 meV/atom

LaSc5 | SCAN | PBEsol geometry

abc: 5.772 5.772 6.191
angles: 62.22 62.22 60.00
Atoms (fractional coordinates):
Sc  0.331  0.331  0.006
Sc  0.669  0.669  0.994
Sc  0.500  0.829  0.500
Sc  0.829  0.171  0.500
Sc  0.171  0.500  0.500
La  0.000  0.000  0.000

calculated volume: 25.09 Å³/atom
excess energy over the best structure of this formula in the dataset: 0.0035 eV/atom
formation energy: 55.9 meV/atom
crystal system: trigonal
final energy: -114.0 eV/f.u.

Sr5Ta4O15 | SCAN | PBEsol geometry

abc: 5.646 5.646 22.972
angles: 90.00 90.00 120.00
Atoms (fractional coordinates):
Sr  0.667  0.333  0.361
Sr  0.667  0.333  0.028
Sr  0.000  0.000  0.250
Sr  0.000  0.000  0.750
Sr  0.667  0.333  0.528
Sr  0.667  0.333  0.861
Sr  0.333  0.667  0.472
Sr  0.333  0.667  0.139
Sr  0.333  0.667  0.972
Sr  0.333  0.667  0.639
Ta  0.667  0.333  0.198
Ta  0.000  0.000  0.408
Ta  0.000  0.000  0.092
Ta  0.000  0.000  0.908
Ta  0.000  0.000  0.592
Ta  0.667  0.333  0.698
Ta  0.333  0.667  0.302
Ta  0.333  0.667  0.802
O  0.901  0.666  0.944
O  0.882  0.671  0.154
O  0.000  0.543  0.750
O  0.000  0.457  0.250
O  0.789  0.671  0.654
O  0.766  0.666  0.444
O  0.901  0.234  0.444
O  0.882  0.211  0.654
O  0.789  0.118  0.154
O  0.766  0.099  0.944
O  0.666  0.901  0.556
O  0.334  0.234  0.944
O  0.329  0.211  0.154
O  0.671  0.882  0.346
O  0.543  0.000  0.750
O  0.457  0.000  0.250
O  0.329  0.118  0.654
O  0.671  0.789  0.846
O  0.666  0.766  0.056
O  0.334  0.099  0.444
O  0.234  0.901  0.056
O  0.211  0.882  0.846
O  0.543  0.543  0.250
O  0.457  0.457  0.750
O  0.118  0.789  0.346
O  0.099  0.766  0.556
O  0.234  0.334  0.556
O  0.211  0.329  0.346
O  0.118  0.329  0.846
O  0.099  0.334  0.056

calculated volume: 13.21 Å³/atom
excess energy over the best structure of this formula in the dataset: 0.0000 eV/atom
crystal system: trigonal
final energy: -550.7 eV/f.u.
uncorrected formation energy: -3315 meV/atom